Entry 1:
Computed, not measured: a relaxed La3WCl crystal at the GGA-PBE level of DFT.

Summary:
For the density of states at the Fermi level, the calculation gives 8.13 states/eV/cell. The calculation puts the raw formation energy at 0.133 eV per atom. The calculation puts the energy above the most stable polymorph in this dataset at 0.0000 eV per atom.

Unit cell a=5.634 b=5.634 c=5.634 alpha=90.00 beta=90.00 gamma=90.00
Element x y z (fractional)
Cl: 0.500 0.500 0.500
W: 0.000 0.000 0.000
La: 0.000 0.500 0.000
La: 0.000 0.000 0.500
La: 0.500 0.000 0.000

***

Entry 2:
Computed, not measured: a relaxed LaWCl2 crystal at the GGA-PBE level of DFT.

Summary:
For the density of states at the Fermi level, the calculation gives 2.35 states/eV/cell. The calculation puts the raw formation energy at -0.058 eV per atom. The calculation puts the energy above the most stable polymorph in this dataset at 0.2999 eV per atom.

Unit cell a=3.390 b=5.682 c=4.649 alpha=90.00 beta=90.00 gamma=90.00
Element x y z (fractional)
Cl: 0.000 0.000 0.000
Cl: 0.500 0.500 0.000
W: 0.000 0.500 0.500
La: 0.500 0.000 0.500

***

Repeat the first record exactly.
Computed, not measured: a relaxed La3WCl crystal at the GGA-PBE level of DFT.

Summary:
For the density of states at the Fermi level, the calculation gives 8.13 states/eV/cell. The calculation puts the raw formation energy at 0.133 eV per atom. The calculation puts the energy above the most stable polymorph in this dataset at 0.0000 eV per atom.

Unit cell a=5.634 b=5.634 c=5.634 alpha=90.00 beta=90.00 gamma=90.00
Element x y z (fractional)
Cl: 0.500 0.500 0.500
W: 0.000 0.000 0.000
La: 0.000 0.500 0.000
La: 0.000 0.000 0.500
La: 0.500 0.000 0.000